Entry 1:
Compound: Ti4BN2
Source: the Alexandria database
Functional: PBE-GGA
Structure: optimized geometry

```
Ti4BN2
1.0
1.526 -4.968 0.000
1.526 4.968 0.000
0.000 0.000 10.248
Ti B N
8 2 4
Direct
0.000 0.000 0.000
0.000 0.000 0.500
0.270 0.730 0.616
0.270 0.730 0.884
0.443 0.557 0.250
0.557 0.443 0.750
0.730 0.270 0.116
0.730 0.270 0.384
0.107 0.893 0.250
0.893 0.107 0.750
0.364 0.636 0.063
0.364 0.636 0.437
0.636 0.364 0.563
0.636 0.364 0.937
```

Output
Spin magnetization = 0.00 μB per formula unit
Raw formation energy = -1.291 eV per atom
Space group = Cmcm

Entry 2:
Compound: TiBN
Source: the Alexandria database
Functional: PBE-GGA
Structure: optimized geometry

```
TiBN
1.0
3.603 0.000 0.000
0.000 4.136 0.000
-1.776 0.000 4.620
Ti B N
2 2 2
Direct
0.194 0.250 0.387
0.806 0.750 0.613
0.041 0.750 0.080
0.959 0.250 0.920
0.196 0.750 0.390
0.804 0.250 0.610
```

Output
Spin magnetization = 0.00 μB per formula unit
Raw formation energy = -0.677 eV per atom
Space group = P2_1/m

Entry 3:
Compound: Ti6B3N
Source: the Alexandria database
Functional: PBE-GGA
Structure: optimized geometry

```
Ti6B3N
1.0
9.238 0.000 0.000
0.000 3.088 0.000
-3.351 0.000 8.783
Ti B N
12 6 2
Direct
0.051 0.250 0.390
0.105 0.250 0.935
0.244 0.750 0.255
0.277 0.250 0.749
0.410 0.750 0.558
0.436 0.250 0.089
0.564 0.750 0.911
0.590 0.250 0.442
0.723 0.750 0.251
0.756 0.250 0.745
0.895 0.750 0.065
0.949 0.750 0.610
0.075 0.250 0.157
0.173 0.750 0.555
0.491 0.750 0.276
0.509 0.250 0.724
0.827 0.250 0.445
0.925 0.750 0.843
0.328 0.750 0.922
0.672 0.250 0.078
```

Output
Spin magnetization = 0.00 μB per formula unit
Raw formation energy = -0.525 eV per atom
Space group = P2_1/m

Entry 4:
Compound: Ti6B2N
Source: the Alexandria database
Functional: PBE-GGA
Structure: optimized geometry

```
Ti6B2N
1.0
5.089 0.000 0.000
0.000 5.089 0.000
0.000 0.000 9.654
Ti B N
12 4 2
Direct
0.199 0.199 0.158
0.199 0.199 0.842
0.205 0.205 0.500
0.295 0.705 0.000
0.301 0.699 0.342
0.301 0.699 0.658
0.699 0.301 0.342
0.699 0.301 0.658
0.705 0.295 0.000
0.795 0.795 0.500
0.801 0.801 0.158
0.801 0.801 0.842
0.000 0.000 0.330
0.000 0.000 0.670
0.500 0.500 0.170
0.500 0.500 0.830
0.000 0.000 0.000
0.500 0.500 0.500
```

Output
Spin magnetization = 0.00 μB per formula unit
Raw formation energy = -0.628 eV per atom
Space group = P4_2/mnm

Entry 5:
Compound: TiBN3
Source: the Alexandria database
Functional: PBE-GGA
Structure: optimized geometry

```
TiBN3
1.0
3.338 0.000 0.000
0.000 3.338 0.000
0.000 0.000 3.338
Ti B N
1 1 3
Direct
0.000 0.000 0.000
0.500 0.500 0.500
0.000 0.500 0.500
0.500 0.000 0.500
0.500 0.500 0.000
```

Output
Spin magnetization = 0.00 μB per formula unit
Raw formation energy = 0.523 eV per atom
Space group = Pm-3m

Entry 6:
Compound: TiBN3
Source: the Alexandria database
Functional: PBE-GGA
Structure: optimized geometry

```
TiBN3
1.0
3.926 0.000 0.000
0.000 3.926 0.000
0.000 0.000 3.926
Ti B N
1 1 3
Direct
0.000 0.000 0.000
0.500 0.500 0.500
0.000 0.000 0.500
0.000 0.500 0.000
0.500 0.000 0.000
```

Output
Spin magnetization = 2.46 μB per formula unit
Raw formation energy = 1.715 eV per atom
Space group = Pm-3m

Entry 7:
Compound: TlBN3
Source: the Alexandria database
Functional: PBE-GGA
Structure: optimized geometry

```
TlBN3
1.0
4.378 0.000 0.000
0.000 4.378 0.000
0.000 0.000 4.378
Tl B N
1 1 3
Direct
0.000 0.000 0.000
0.500 0.500 0.500
0.000 0.000 0.500
0.000 0.500 0.000
0.500 0.000 0.000
```

Output
Spin magnetization = 4.67 μB per formula unit
Raw formation energy = 3.381 eV per atom
Space group = Pm-3m

Entry 8:
Compound: TlBN2
Source: the Alexandria database
Functional: PBE-GGA
Structure: optimized geometry

```
TlBN2
1.0
0.000 2.822 2.822
2.822 0.000 2.822
2.822 2.822 0.000
Tl B N
1 1 2
Direct
0.000 0.000 0.000
0.500 0.500 0.500
0.250 0.250 0.250
0.750 0.750 0.750
```

Output
Spin magnetization = 0.00 μB per formula unit
Raw formation energy = 2.607 eV per atom
Relative energy among the computed polymorphs = 2399 meV per atom
Space group = Fm-3m

Entry 9:
Compound: TlB2N
Source: the Alexandria database
Functional: PBE-GGA
Structure: optimized geometry

```
TlB2N
1.0
0.000 2.937 2.937
2.937 0.000 2.937
2.937 2.937 0.000
Tl B N
1 2 1
Direct
0.000 0.000 0.000
0.250 0.250 0.250
0.750 0.750 0.750
0.500 0.500 0.500
```

Output
Spin magnetization = 0.00 μB per formula unit
Raw formation energy = 2.659 eV per atom
Relative energy among the computed polymorphs = 1841 meV per atom
Space group = Fm-3m

Entry 10:
Compound: TlB3N
Source: the Alexandria database
Functional: PBE-GGA
Structure: optimized geometry

```
TlB3N
1.0
4.583 0.000 0.000
0.000 4.583 0.000
0.000 0.000 4.583
Tl B N
1 3 1
Direct
0.000 0.000 0.000
0.000 0.000 0.500
0.000 0.500 0.000
0.500 0.000 0.000
0.500 0.500 0.500
```

Output
Spin magnetization = 0.76 μB per formula unit
Raw formation energy = 3.474 eV per atom
Relative energy among the computed polymorphs = 1379 meV per atom
Space group = Pm-3m

Entry 11:
Compound: TlBN2
Source: the Alexandria database
Functional: PBE-GGA
Structure: optimized geometry

```
TlBN2
1.0
1.805 1.042 5.012
-1.805 1.042 5.012
0.000 -2.084 5.012
Tl B N
1 1 2
Direct
0.000 0.000 0.000
0.500 0.500 0.500
0.411 0.411 0.411
0.589 0.589 0.589
```

Output
Spin magnetization = 0.00 μB per formula unit
Raw formation energy = 0.237 eV per atom
Relative energy among the computed polymorphs = 30 meV per atom
Space group = R-3m

Entry 12:
Compound: TlBN2
Source: the Alexandria database
Functional: PBE-GGA
Structure: optimized geometry

```
TlBN2
1.0
-2.317 2.317 3.876
2.317 -2.317 3.876
2.317 2.317 -3.876
Tl B N
2 2 4
Direct
0.000 0.000 0.000
0.750 0.250 0.500
0.250 0.750 0.500
0.500 0.500 0.000
0.247 0.625 0.122
0.375 0.497 0.622
0.503 0.125 0.878
0.875 0.753 0.378
```

Output
Spin magnetization = 0.00 μB per formula unit
Raw formation energy = 0.207 eV per atom
Relative energy among the computed polymorphs = 0 meV per atom
Space group = I-42d